# Li4Ag5 | Alexandria via LeMat-Bulk | meta-GGA SCAN | single point on PBEsol structure
data_Li4Ag5
_chemical_formula_sum 'Li8 Ag10'
_symmetry_space_group_name_H-M 'P 63/m c m'
_symmetry_Int_Tables_number 193
_symmetry_space_group_name_Hall '-P 6c 2'
_cell_length_a 7.6796
_cell_length_b 7.6796
_cell_length_c 5.4873
_cell_angle_alpha 90.00
_cell_angle_beta 90.00
_cell_angle_gamma 120.00
loop_
_atom_site_label
_atom_site_type_symbol
_atom_site_fract_x
_atom_site_fract_y
_atom_site_fract_z
Li1 Li 0.0000 0.0000 0.0000
Li2 Li 0.0000 0.3542 0.2500
Ag1 Ag 0.0000 0.3148 0.7500
Ag2 Ag 0.3333 0.6667 0.0000
# Total energy: -335.26 eV per cell
# V: 15.6 Å³ per atom
# ΔE to the lowest computed polymorph: 16 meV/atom
# Energy of formation from the pure elements: -0.14 eV/atom


# Li2Ag | Alexandria via LeMat-Bulk | meta-GGA SCAN | single point on PBEsol structure
data_Li2Ag
_chemical_formula_sum 'Li4 Ag2'
_symmetry_space_group_name_H-M 'P 63/m m c'
_symmetry_Int_Tables_number 194
_symmetry_space_group_name_Hall '-P 6c 2c'
_cell_length_a 4.5210
_cell_length_b 4.5210
_cell_length_c 5.4282
_cell_angle_alpha 90.00
_cell_angle_beta 90.00
_cell_angle_gamma 120.00
loop_
_atom_site_label
_atom_site_type_symbol
_atom_site_fract_x
_atom_site_fract_y
_atom_site_fract_z
Li1 Li 0.0000 0.0000 0.0000
Li2 Li 0.3333 0.6667 0.2500
Ag1 Ag 0.3333 0.6667 0.7500
# Total energy: -73.14 eV per cell
# V: 16.0 Å³ per atom
# Energy of formation from the pure elements: -0.14 eV/atom


# Li2Ag | Alexandria via LeMat-Bulk | meta-GGA SCAN | single point on PBEsol structure
data_Li2Ag
_chemical_formula_sum 'Li4 Ag2'
_symmetry_space_group_name_H-M 'I 4/m m m'
_symmetry_Int_Tables_number 139
_symmetry_space_group_name_Hall '-I 4 2'
_cell_length_a 3.220
_cell_length_b 3.220
_cell_length_c 9.168
_cell_angle_alpha 90.00
_cell_angle_beta 90.00
_cell_angle_gamma 90.00
loop_
_atom_site_label
_atom_site_type_symbol
_atom_site_fract_x
_atom_site_fract_y
_atom_site_fract_z
Li1 Li 0.000 0.000 0.158
Ag1 Ag 0.000 0.000 0.500
# Total energy: -73.29 eV per cell
# V: 15.8 Å³ per atom
# Energy of formation from the pure elements: -0.17 eV/atom


# Li2Ag | Alexandria via LeMat-Bulk | meta-GGA SCAN | single point on PBEsol structure
data_Li2Ag
_chemical_formula_sum 'Li8 Ag4'
_symmetry_space_group_name_H-M 'I 41/a m d'
_symmetry_Int_Tables_number 141
_cell_length_a 2.854
_cell_length_b 2.854
_cell_length_c 25.343
_cell_angle_alpha 90.00
_cell_angle_beta 90.00
_cell_angle_gamma 90.00
loop_
_symmetry_equiv_pos_as_xyz
'x,y,z'
'-x,-y,-z'
'-y+1/4,x+3/4,z+1/4'
'y+1/4,-x+3/4,-z+1/4'
'-x+1/2,-y,z+1/2'
'x+1/2,y,-z+1/2'
'y+1/4,-x+1/4,z+3/4'
'-y+1/4,x+1/4,-z+3/4'
'x,-y,-z'
'-x,y,z'
'-y+1/4,-x+1/4,-z+3/4'
'y+1/4,x+1/4,z+3/4'
'-x+1/2,y,-z+1/2'
'x+1/2,-y,z+1/2'
'y+1/4,x+3/4,-z+1/4'
'-y+1/4,-x+3/4,z+1/4'
'x+1/2,y+1/2,z+1/2'
'-x+1/2,-y+1/2,-z+1/2'
'-y+3/4,x+1/4,z+3/4'
'y+3/4,-x+1/4,-z+3/4'
'-x,-y+1/2,z'
'x,y+1/2,-z'
'y+3/4,-x+3/4,z+1/4'
'-y+3/4,x+3/4,-z+1/4'
'x+1/2,-y+1/2,-z+1/2'
'-x+1/2,y+1/2,z+1/2'
'-y+3/4,-x+3/4,-z+1/4'
'y+3/4,x+3/4,z+1/4'
'-x,y+1/2,-z'
'x,-y+1/2,z'
'y+3/4,x+1/4,-z+3/4'
'-y+3/4,-x+1/4,z+3/4'
loop_
_atom_site_label
_atom_site_type_symbol
_atom_site_fract_x
_atom_site_fract_y
_atom_site_fract_z
Li1 Li 0.000 0.250 0.301
Ag1 Ag 0.000 0.250 0.875
# Total energy: -145.97 eV per cell
# V: 17.2 Å³ per atom
# Energy of formation from the pure elements: -0.12 eV/atom


# Li12Ag17 | Alexandria via LeMat-Bulk | meta-GGA SCAN | single point on PBEsol structure
data_Li12Ag17
_chemical_formula_sum 'Li24 Ag34'
_symmetry_space_group_name_H-M 'I -4 3 m'
_symmetry_Int_Tables_number 217
_symmetry_space_group_name_Hall 'I -4 2 3'
_cell_length_a 9.634
_cell_length_b 9.634
_cell_length_c 9.634
_cell_angle_alpha 90.00
_cell_angle_beta 90.00
_cell_angle_gamma 90.00
loop_
_atom_site_label
_atom_site_type_symbol
_atom_site_fract_x
_atom_site_fract_y
_atom_site_fract_z
Li1 Li 0.090 0.090 0.286
Ag1 Ag 0.000 0.000 0.000
Ag2 Ag 0.041 0.358 0.358
Ag3 Ag 0.173 0.173 0.827
# Total energy: -1131.43 eV per cell
# V: 15.4 Å³ per atom
# Energy of formation from the pure elements: -0.13 eV/atom


# Li2Ag | Alexandria via LeMat-Bulk | meta-GGA SCAN | single point on PBEsol structure
data_Li2Ag
_chemical_formula_sum 'Li8 Ag4'
_symmetry_space_group_name_H-M 'P n m a'
_symmetry_Int_Tables_number 62
_symmetry_space_group_name_Hall '-P 2ac 2n'
_cell_length_a 5.568
_cell_length_b 4.080
_cell_length_c 8.323
_cell_angle_alpha 90.00
_cell_angle_beta 90.00
_cell_angle_gamma 90.00
loop_
_atom_site_label
_atom_site_type_symbol
_atom_site_fract_x
_atom_site_fract_y
_atom_site_fract_z
Li1 Li 0.107 0.250 0.247
Li2 Li 0.145 0.250 0.581
Ag1 Ag 0.136 0.250 0.916
# Total energy: -146.67 eV per cell
# V: 15.8 Å³ per atom
# Energy of formation from the pure elements: -0.17 eV/atom


# Li5Ag | Alexandria via LeMat-Bulk | meta-GGA SCAN | single point on PBEsol structure
data_Li5Ag
_chemical_formula_sum 'Li10 Ag2'
_symmetry_space_group_name_H-M 'C 1 m 1'
_symmetry_Int_Tables_number 8
_symmetry_space_group_name_Hall 'C -2y'
_cell_length_a 10.642
_cell_length_b 3.021
_cell_length_c 6.964
_cell_angle_alpha 90.00
_cell_angle_beta 108.50
_cell_angle_gamma 90.00
loop_
_atom_site_label
_atom_site_type_symbol
_atom_site_fract_x
_atom_site_fract_y
_atom_site_fract_z
Li1 Li 0.000 0.000 0.000
Li2 Li 0.027 0.000 0.601
Li3 Li 0.162 0.500 0.336
Li4 Li 0.307 0.000 0.700
Li5 Li 0.359 0.000 0.227
Ag1 Ag 0.193 0.500 0.925
# Total energy: -87.66 eV per cell
# V: 17.7 Å³ per atom
# Energy of formation from the pure elements: -0.09 eV/atom


# Li4Ag | Alexandria via LeMat-Bulk | meta-GGA SCAN | single point on PBEsol structure
data_Li4Ag
_chemical_formula_sum 'Li8 Ag2'
_symmetry_space_group_name_H-M 'I 4/m'
_symmetry_Int_Tables_number 87
_symmetry_space_group_name_Hall '-I 4'
_cell_length_a 6.383
_cell_length_b 6.383
_cell_length_c 4.086
_cell_angle_alpha 90.00
_cell_angle_beta 90.00
_cell_angle_gamma 90.00
loop_
_atom_site_label
_atom_site_type_symbol
_atom_site_fract_x
_atom_site_fract_y
_atom_site_fract_z
Li1 Li 0.106 0.710 0.000
Ag1 Ag 0.000 0.000 0.500
# Total energy: -83.19 eV per cell
# V: 16.6 Å³ per atom
# Energy of formation from the pure elements: -0.13 eV/atom


| no. | total moment (μB per cell) |
| --- | --- |
| 1 | 0.00 |
| 2 | 0.00 |
| 3 | 0.00 |
| 4 | 0.05 |
| 5 | 0.00 |
| 6 | 0.00 |
| 7 | 0.01 |
| 8 | 0.00 |